No. 1
Density functional theory data (GGA-PBE) for Be4NbTc after structural relaxation.

total DFT energy (no corrections)	-0.4637	Ry per atom
size of the total moment	0.0	μB/f.u.

abc: 4.4819 4.4819 4.4819
angles: 60.00 60.00 60.00
With the nearest neighbours (Å) after each atom.
Atoms (fractional coordinates):
Be1 0.3758 0.3758 0.3758  6 Be 2.23-2.26
Be2 0.3758 0.3758 0.8725  6 Be 2.23-2.26
Be3 0.3758 0.8725 0.3758  6 Be 2.23-2.26
Be4 0.8725 0.3758 0.3758  6 Be 2.23-2.26
Nb1 0.0000 0.0000 0.0000  12 Be 2.63, 4 Tc 2.74
Tc1 0.7500 0.7500 0.7500  12 Be 2.63, 4 Nb 2.74

***

No. 2
Density functional theory data (GGA-PBE) for Be2Nb2Tc after structural relaxation.

total DFT energy (no corrections)	-0.5820	Ry per atom
size of the total moment	0.0	μB/f.u.

abc: 6.3418 6.3418 3.3058
angles: 90.00 90.00 90.00
With the nearest neighbours (Å) after each atom.
Atoms (fractional coordinates):
Be1 0.1182 0.3818 0.0000  1 Be 2.12
Be2 0.3818 0.8818 0.0000  1 Be 2.12
Be3 0.6182 0.1182 0.0000  1 Be 2.12
Be4 0.8818 0.6182 0.0000  1 Be 2.12
Nb1 0.1783 0.6783 0.5000  6 Be 2.46-2.53
Nb2 0.3217 0.1783 0.5000  6 Be 2.46-2.53
Nb3 0.6783 0.8217 0.5000  6 Be 2.46-2.53
Nb4 0.8217 0.3217 0.5000  6 Be 2.46-2.53
Tc1 0.0000 0.0000 0.0000  4 Be 2.53
Tc2 0.5000 0.5000 0.0000  4 Be 2.53

***

No. 3
Density functional theory data (GGA-PBE) for BeNbTe2 after structural relaxation.

total DFT energy (no corrections)	-0.3065	Ry per atom
size of the total moment	1.3	μB/f.u.

abc: 6.9372 6.9372 6.9372
angles: 90.00 90.00 90.00
With the nearest neighbours (Å) after each atom.
Atoms (fractional coordinates):
Be1 0.0000 0.0000 0.0000  4 Nb 3.00, 4 Te 3.00
Be2 0.0000 0.5000 0.5000  4 Nb 3.00, 4 Te 3.00
Be3 0.5000 0.0000 0.5000  4 Nb 3.00, 4 Te 3.00
Be4 0.5000 0.5000 0.0000  4 Nb 3.00, 4 Te 3.00
Nb1 0.2500 0.2500 0.7500  4 Te 3.00, 4 Be 3.00
Nb2 0.2500 0.7500 0.2500  4 Te 3.00, 4 Be 3.00
Nb3 0.7500 0.2500 0.2500  4 Te 3.00, 4 Be 3.00
Nb4 0.7500 0.7500 0.7500  4 Te 3.00, 4 Be 3.00
Te1 0.0000 0.0000 0.5000  4 Te 3.00, 4 Nb 3.00
Te2 0.0000 0.5000 0.0000  4 Te 3.00, 4 Nb 3.00
Te3 0.2500 0.2500 0.2500  4 Te 3.00, 4 Be 3.00
Te4 0.2500 0.7500 0.7500  4 Te 3.00, 4 Be 3.00
Te5 0.5000 0.0000 0.0000  4 Te 3.00, 4 Nb 3.00
Te6 0.5000 0.5000 0.5000  4 Te 3.00, 4 Nb 3.00
Te7 0.7500 0.2500 0.7500  4 Te 3.00, 4 Be 3.00
Te8 0.7500 0.7500 0.2500  4 Te 3.00, 4 Be 3.00

***

No. 4
Density functional theory data (GGA-PBE) for BeNbTl after structural relaxation.

total DFT energy (no corrections)	-0.3148	Ry per atom
polymorph energy (0 for the lowest one)	0.542	eV/atom
size of the total moment	0.0	μB/f.u.

abc: 6.3278 6.3278 6.3278
angles: 90.00 90.00 90.00
With the nearest neighbours (Å) after each atom.
Atoms (fractional coordinates):
Be1 0.0000 0.0000 0.0000  4 Nb 2.74
Be2 0.0000 0.5000 0.5000  4 Nb 2.74
Be3 0.5000 0.0000 0.5000  4 Nb 2.74
Be4 0.5000 0.5000 0.0000  4 Nb 2.74
Nb1 0.2500 0.2500 0.2500  4 Tl 2.74, 4 Be 2.74
Nb2 0.2500 0.7500 0.7500  4 Tl 2.74, 4 Be 2.74
Nb3 0.7500 0.2500 0.7500  4 Tl 2.74, 4 Be 2.74
Nb4 0.7500 0.7500 0.2500  4 Tl 2.74, 4 Be 2.74
Tl1 0.0000 0.0000 0.5000  4 Nb 2.74
Tl2 0.0000 0.5000 0.0000  4 Nb 2.74
Tl3 0.5000 0.0000 0.0000  4 Nb 2.74
Tl4 0.5000 0.5000 0.5000  4 Nb 2.74

***

No. 5
Density functional theory data (GGA-PBE) for BeNbTl after structural relaxation.

total DFT energy (no corrections)	-0.3546	Ry per atom
polymorph energy (0 for the lowest one)	0.000	eV/atom
size of the total moment	0.0	μB/f.u.

abc: 5.9495 5.9495 5.9495
angles: 90.00 90.00 90.00
With the nearest neighbours (Å) after each atom.
Atoms (fractional coordinates):
Be1 0.0000 0.0000 0.0000  4 Tl 2.58, 4 Nb 2.58
Be2 0.0000 0.5000 0.5000  4 Tl 2.58, 4 Nb 2.58
Be3 0.5000 0.0000 0.5000  4 Tl 2.58, 4 Nb 2.58
Be4 0.5000 0.5000 0.0000  4 Tl 2.58, 4 Nb 2.58
Nb1 0.2500 0.2500 0.7500  4 Be 2.58
Nb2 0.2500 0.7500 0.2500  4 Be 2.58
Nb3 0.7500 0.2500 0.2500  4 Be 2.58
Nb4 0.7500 0.7500 0.7500  4 Be 2.58
Tl1 0.2500 0.2500 0.2500  4 Be 2.58
Tl2 0.2500 0.7500 0.7500  4 Be 2.58
Tl3 0.7500 0.2500 0.7500  4 Be 2.58
Tl4 0.7500 0.7500 0.2500  4 Be 2.58

***

No. 6
Density functional theory data (GGA-PBE) for Be2NbW2 after structural relaxation.

total DFT energy (no corrections)	-0.6518	Ry per atom
size of the total moment	0.0	μB/f.u.

abc: 6.3315 6.3315 3.2584
angles: 90.00 90.00 90.00
With the nearest neighbours (Å) after each atom.
Atoms (fractional coordinates):
Be1 0.1150 0.3850 0.0000  1 Be 2.06
Be2 0.3850 0.8850 0.0000  1 Be 2.06
Be3 0.6150 0.1150 0.0000  1 Be 2.06
Be4 0.8850 0.6150 0.0000  1 Be 2.06
Nb1 0.0000 0.0000 0.0000  4 Be 2.54, 8 W 2.85
Nb2 0.5000 0.5000 0.0000  4 Be 2.54, 8 W 2.85
W1 0.1762 0.6762 0.5000  6 Be 2.48-2.49
W2 0.3238 0.1762 0.5000  6 Be 2.48-2.49
W3 0.6762 0.8238 0.5000  6 Be 2.48-2.49
W4 0.8238 0.3238 0.5000  6 Be 2.48-2.49